Record 1
! Sr6MgCu2 PBE-GGA relaxed; values from VASP
&SYSTEM
  ibrav = 0, nat = 18, ntyp = 3
/
ATOMIC_SPECIES
Sr 87.62 Sr.upf
Mg 24.30 Mg.upf
Cu 63.55 Cu.upf
CELL_PARAMETERS angstrom
9.0545 -0.1490 -3.3180
-4.8680 7.9094 -2.5999
-0.1141 0.1490 9.6426
ATOMIC_POSITIONS crystal
Sr 0.5314 0.7124 0.8189
Sr 0.8069 0.7572 0.5641
Sr 0.8935 0.7124 0.1811
Sr 0.1065 0.2876 0.8189
Sr 0.3164 0.6479 0.3316
Sr 0.6836 0.3521 0.6684
Sr 0.3164 0.9848 0.6684
Sr 0.1931 0.7572 0.9503
Sr 0.8069 0.2428 0.0497
Sr 0.1931 0.2428 0.4359
Sr 0.4686 0.2876 0.1811
Sr 0.6836 0.0152 0.3316
Mg 0.0000 0.0000 0.0000
Mg 0.0000 0.5000 0.5000
Cu 0.5000 0.6083 0.1083
Cu 0.3161 0.0000 0.3161
Cu 0.5000 0.3917 0.8917
Cu 0.6839 0.0000 0.6839
! Formation energy, eV/atom: -0.03

Record 2
! TaAlNi2 PBE-GGA relaxed; values from VASP
&SYSTEM
  ibrav = 0, nat = 4, ntyp = 3
/
ATOMIC_SPECIES
Ni 58.69 Ni.upf
Ta 180.95 Ta.upf
Al 26.98 Al.upf
CELL_PARAMETERS angstrom
-1.5599 -2.6922 -3.1235
1.7233 -3.4596 2.1213
-2.3707 -0.2976 1.4405
ATOMIC_POSITIONS crystal
Ni 0.0000 0.0000 0.0000
Ni 0.5000 0.5000 0.0000
Ta 0.5000 0.0000 0.5000
Al 0.0000 0.5000 0.5000
! Formation energy, eV/atom: -0.33

Record 3
! K4RbNa2 PBE-GGA relaxed; values from VASP
&SYSTEM
  ibrav = 0, nat = 7, ntyp = 3
/
ATOMIC_SPECIES
Rb 85.47 Rb.upf
K 39.10 K.upf
Na 22.99 Na.upf
CELL_PARAMETERS angstrom
1.9339 1.7574 -8.0543
7.0611 -3.6575 2.9093
-7.4006 -4.0630 -0.6515
ATOMIC_POSITIONS crystal
Rb 0.0000 0.0000 0.0000
K 0.0000 0.7032 0.2968
K 0.0000 0.2968 0.7032
K 0.4063 0.7032 0.7032
K 0.5937 0.2968 0.2968
Na 0.5000 0.7500 0.2500
Na 0.5000 0.2500 0.7500
! Formation energy, eV/atom: 0.04

Record 4
! LaSm6Er2 PBE-GGA relaxed; values from VASP
&SYSTEM
  ibrav = 0, nat = 9, ntyp = 3
/
ATOMIC_SPECIES
Sm 150.36 Sm.upf
Er 167.26 Er.upf
La 138.91 La.upf
CELL_PARAMETERS angstrom
6.1472 -0.0267 -0.0154
0.0368 7.5167 0.0091
0.0368 3.7528 6.5129
ATOMIC_POSITIONS crystal
Sm 0.2913 0.8133 0.3735
Sm 0.7088 0.1869 0.1869
Sm 0.7087 0.6265 0.1867
Sm 0.2913 0.3735 0.8133
Sm 0.7087 0.1867 0.6265
Sm 0.2912 0.8131 0.8131
Er 0.2185 0.3336 0.3336
Er 0.7815 0.6664 0.6664
La 0.0000 0.0000 0.0000
! E above lowest polymorph, meV per atom: 179
! Formation energy, eV/atom: 0.20

Record 5
! CaAlTe2 PBE-GGA relaxed; values from VASP
&SYSTEM
  ibrav = 0, nat = 8, ntyp = 3
/
ATOMIC_SPECIES
Ca 40.08 Ca.upf
Te 127.60 Te.upf
Al 26.98 Al.upf
CELL_PARAMETERS angstrom
-5.6254 1.5415 -3.2232
-3.4845 -3.6959 4.3138
-5.4030 4.6432 4.7612
ATOMIC_POSITIONS crystal
Ca 0.0000 0.0000 0.0000
Ca 0.7500 0.2500 0.5000
Te 0.1640 0.6250 0.2500
Te 0.8750 0.8360 0.7500
Te 0.5860 0.1250 0.2500
Te 0.3750 0.4140 0.7500
Al 0.5000 0.5000 0.0000
Al 0.2500 0.7500 0.5000
! Uncorrected formation energy, eV/atom: -0.662

Record 6
! ReW2Au PBE-GGA relaxed; values from VASP
&SYSTEM
  ibrav = 0, nat = 4, ntyp = 3
/
ATOMIC_SPECIES
W 183.84 W.upf
Au 196.97 Au.upf
Re 186.21 Re.upf
CELL_PARAMETERS angstrom
0.0000 3.1962 3.1962
3.1962 0.0000 3.1962
3.1962 3.1962 0.0000
ATOMIC_POSITIONS crystal
W 0.2500 0.2500 0.2500
W 0.7500 0.7500 0.7500
Au 0.5000 0.5000 0.5000
Re 0.0000 0.0000 0.0000
! E above lowest polymorph, meV per atom: 307
! Formation energy, eV/atom: 0.58

Record 7
! Sm5Dy4Ho2 PBE-GGA relaxed; values from VASP
&SYSTEM
  ibrav = 0, nat = 11, ntyp = 3
/
ATOMIC_SPECIES
Sm 150.36 Sm.upf
Ho 164.93 Ho.upf
Dy 162.50 Dy.upf
CELL_PARAMETERS angstrom
-5.5799 -0.3747 -4.0393
0.0107 -4.3650 -5.3424
-5.1647 -7.9162 2.0817
ATOMIC_POSITIONS crystal
Sm 0.3707 0.8412 0.1792
Sm 0.0000 0.0000 0.5000
Sm 0.6293 0.1588 0.8208
Sm 0.8412 0.3707 0.1792
Sm 0.1588 0.6293 0.8208
Ho 0.1296 0.1296 0.8491
Ho 0.8704 0.8704 0.1509
Dy 0.3568 0.3568 0.1514
Dy 0.6432 0.6432 0.8486
Dy 0.3485 0.3485 0.5004
Dy 0.6515 0.6515 0.4996
! E above lowest polymorph, meV per atom: 0
! Formation energy, eV/atom: 0.18

Record 8
! NaUFeS3 PBE-GGA relaxed; values from VASP
&SYSTEM
  ibrav = 0, nat = 12, ntyp = 4
/
ATOMIC_SPECIES
S 32.06 S.upf
Na 22.99 Na.upf
U 238.03 U.upf
Fe 55.84 Fe.upf
CELL_PARAMETERS angstrom
3.7733 0.0000 0.0000
0.0000 8.1801 -0.1068
0.0000 -2.2648 8.3749
ATOMIC_POSITIONS crystal
S 0.7500 0.9001 0.1471
S 0.7500 0.4359 0.1583
S 0.2500 0.5641 0.8417
S 0.7500 0.1978 0.5106
S 0.2500 0.8022 0.4894
S 0.2500 0.0999 0.8529
Na 0.7500 0.8127 0.7778
Na 0.2500 0.1873 0.2222
U 0.7500 0.3202 0.8300
U 0.2500 0.6798 0.1700
Fe 0.7500 0.9139 0.4177
Fe 0.2500 0.0861 0.5823
! Uncorrected formation energy, eV/atom: -1.045

Record 9
! Ac3Pm6Nd2 PBE-GGA relaxed; values from VASP
&SYSTEM
  ibrav = 0, nat = 11, ntyp = 3
/
ATOMIC_SPECIES
Nd 144.24 Nd.upf
Pm 145.00 Pm.upf
Ac 227.00 Ac.upf
CELL_PARAMETERS angstrom
-5.3851 -0.0454 3.1765
-5.6598 -1.1088 -3.4576
-2.7605 -11.1609 4.0257
ATOMIC_POSITIONS crystal
Nd 0.8592 0.2816 0.5000
Nd 0.1408 0.7184 0.5000
Pm 0.4876 0.3119 0.2919
Pm 0.8271 0.0000 0.7574
Pm 0.5124 0.6881 0.7081
Pm 0.2005 0.3119 0.7081
Pm 0.7995 0.6881 0.2919
Pm 0.1729 0.0000 0.2426
Ac 0.6723 0.6554 0.0000
Ac 0.0000 0.0000 0.0000
Ac 0.3277 0.3446 0.0000
! Formation energy, eV/atom: 0.17

Record 10
! TiNiPS2 PBE-GGA relaxed; values from VASP
&SYSTEM
  ibrav = 0, nat = 5, ntyp = 4
/
ATOMIC_SPECIES
Ti 47.87 Ti.upf
P 30.97 P.upf
S 32.06 S.upf
Ni 58.69 Ni.upf
CELL_PARAMETERS angstrom
-2.5150 2.4489 2.7212
-0.1601 -3.3719 2.8865
3.5312 1.4834 1.9287
ATOMIC_POSITIONS crystal
Ti 0.5000 0.5000 0.5000
P 0.0000 0.0000 0.5000
S 0.5000 0.0000 0.0000
S 0.0000 0.5000 0.0000
Ni 0.0000 0.0000 0.0000
! E above lowest polymorph, meV per atom: 0
! Uncorrected formation energy, eV/atom: 0.214

Record 11
! La2ReMo PBE-GGA relaxed; values from VASP
&SYSTEM
  ibrav = 0, nat = 4, ntyp = 3
/
ATOMIC_SPECIES
La 138.91 La.upf
Re 186.21 Re.upf
Mo 95.94 Mo.upf
CELL_PARAMETERS angstrom
-1.3358 2.9957 1.5227
-2.8695 -0.1640 -2.1945
-3.5334 -4.0790 4.9251
ATOMIC_POSITIONS crystal
La 0.0000 0.0000 0.9885
La 0.0000 0.0000 0.5115
Re 0.5000 0.5000 0.7500
Mo 0.5000 0.5000 0.2500
! E above lowest polymorph, meV per atom: 588
! Formation energy, eV/atom: 0.77

Record 12
! Pr4ZnNi2 PBE-GGA relaxed; values from VASP
&SYSTEM
  ibrav = 0, nat = 7, ntyp = 3
/
ATOMIC_SPECIES
Pr 140.91 Pr.upf
Ni 58.69 Ni.upf
Zn 65.41 Zn.upf
CELL_PARAMETERS angstrom
-3.1409 -2.8508 -2.5023
0.9724 -1.2265 -4.6695
3.5499 -8.4922 0.3728
ATOMIC_POSITIONS crystal
Pr 0.3812 0.3812 0.8564
Pr 0.2067 0.2067 0.3800
Pr 0.7933 0.7933 0.6200
Pr 0.6188 0.6188 0.1436
Ni 0.0944 0.0944 0.7167
Ni 0.9056 0.9056 0.2833
Zn 0.0000 0.0000 0.0000
! Formation energy, eV/atom: -0.14